A relaxed structure of Y2CoSe, computed with GGA-PBE.

POSCAR file:
```
Y2CoSe
1.0
4.028 0.000 0.000
0.000 4.030 0.000
0.000 0.000 5.708
Se Co Y
1 1 2
direct
0.500 0.500 0.860 Se
0.000 0.000 0.367 Co
0.500 0.500 0.363 Y
0.000 0.000 0.911 Y
```

The density of states at the Fermi level comes out at 3.32 states/eV per cell. As for the final energy: -6.64 eV/atom. For the formation energy (no corrections), the calculation gives -0.761 eV/atom.